Below is an optimized crystal structure of Pr6Y5Mg, with properties calculated at the GGA-PBE level.

Lattice parameters (Å, degrees): 5.165 9.601 9.601 107.86 105.60 105.60
Sites, in units of the cell vectors:
Pr: 0.247 0.081 0.414
Pr: 0.753 0.586 0.919
Y: 0.500 0.832 0.168
Y: 0.000 0.335 0.665
Mg: 0.000 0.000 0.000
Pr: 0.747 0.248 0.248
Pr: 0.247 0.414 0.081
Y: 0.500 0.500 0.500
Y: 0.500 0.168 0.832
Pr: 0.253 0.752 0.752
Y: 0.000 0.665 0.335
Pr: 0.753 0.919 0.586

- V: 33.601 Å³ per atom
- Total magnetic moment: 0.000 μB per atom
- Density: 5.41 g cm⁻³
- ΔE_f: 0.014 eV per atom

---

Below is an optimized crystal structure of In2SiTe6, with properties calculated at the GGA-PBE level.

Lattice parameters (Å, degrees): 8.324 10.035 10.035 87.28 68.71 68.71
Sites, in units of the cell vectors:
Te: 0.047 0.838 0.928
In: 0.539 0.812 0.592
Te: 0.136 0.475 0.363
Te: 0.303 0.368 0.899
In: 0.961 0.408 0.188
In: 0.461 0.188 0.408
Te: 0.197 0.101 0.632
Si: 0.250 0.138 0.862
Te: 0.364 0.637 0.525
Te: 0.547 0.928 0.838
Te: 0.453 0.072 0.162
Si: 0.750 0.862 0.138
Te: 0.953 0.162 0.072
In: 0.039 0.592 0.812
Te: 0.636 0.363 0.475
Te: 0.864 0.525 0.637
Te: 0.803 0.899 0.368
Te: 0.697 0.632 0.101

- V: 40.238 Å³ per atom
- Total magnetic moment: 0.000 μB per atom
- Density: 4.69 g cm⁻³
- ΔE_f (raw): -0.125 eV/atom

---

Below is an optimized crystal structure of U2Ga7Au12, with properties calculated at the GGA-PBE level.

Lattice parameters (Å, degrees): 4.186 10.578 10.578 120.00 90.00 90.00
Each line ends with the local moment (μB).
Sites, in units of the cell vectors:
Au: 0.762 0.548 0.628  0.01
Au: 0.224 0.128 0.260  0.01
Au: 0.776 0.260 0.132  0.01
Ga: 0.500 0.000 0.000  0.01
Ga: 0.727 0.598 0.894  0.00
Au: 0.238 0.920 0.548  0.01
Au: 0.776 0.868 0.128  0.01
U: 0.242 0.333 0.667  2.64
Ga: 0.273 0.704 0.598  0.00
Au: 0.238 0.628 0.080  0.01
Au: 0.762 0.372 0.920  0.01
U: 0.758 0.667 0.333  2.64
Ga: 0.273 0.894 0.296  0.00
Ga: 0.727 0.106 0.704  0.00
Ga: 0.273 0.402 0.106  0.00
Au: 0.238 0.452 0.372  0.01
Au: 0.762 0.080 0.452  0.01
Ga: 0.727 0.296 0.402  0.00
Au: 0.224 0.740 0.868  0.01
Au: 0.776 0.872 0.740  0.01
Au: 0.224 0.132 0.872  0.01

- V: 19.315 Å³ per atom
- Total magnetic moment: 0.282 μB per atom
- Density: 13.62 g cm⁻³
- ΔE_f: -0.176 eV per atom

---

Below is an optimized crystal structure of CdIrOs2, with properties calculated at the GGA-PBE level.

Lattice parameters (Å, degrees): 7.497 7.497 5.897 50.53 50.53 90.00
Sites, in units of the cell vectors:
Os: 0.678 0.125 0.250
Os: 0.072 0.625 0.250
Cd: 0.250 0.750 0.500
Os: 0.375 0.322 0.750
Ir: 0.000 0.000 0.000
Cd: 0.500 0.500 0.000
Ir: 0.750 0.250 0.500
Os: 0.875 0.928 0.750

- V: 18.151 Å³ per atom
- Total magnetic moment: 0.000 μB per atom
- Density: 15.67 g cm⁻³
- ΔE_f: 1.039 eV per atom

---

Below is an optimized crystal structure of PmBe2SiPd2, with properties calculated at the GGA-PBE level.

Lattice parameters (Å, degrees): 4.156 4.156 5.703 90.00 90.00 90.00
Sites, in units of the cell vectors:
Pd: 0.500 0.500 0.752
Be: 0.500 0.000 0.000
Be: 0.000 0.500 0.000
Pm: 0.000 0.000 0.500
Si: 0.000 0.000 0.000
Pd: 0.500 0.500 0.248

- V: 16.415 Å³ per atom
- Total magnetic moment: 0.000 μB per atom
- Density: 6.81 g cm⁻³
- ΔE_f (raw): -0.234 eV/atom

---

Below is an optimized crystal structure of LiAc4Sc3O12, with properties calculated at the GGA-PBE level.

Lattice parameters (Å, degrees): 7.079 7.079 7.079 109.47 109.47 109.47
Each line ends with the local moment (μB).
Sites, in units of the cell vectors:
O: 0.000 0.750 0.750  0.25
O: 0.250 0.500 0.750  0.06
Sc: 0.000 0.500 0.500  0.00
O: 0.000 0.250 0.250  0.25
Ac: 0.500 0.000 0.000  -0.01
O: 0.500 0.250 0.750  0.06
Li: 0.000 0.000 0.000  0.01
O: 0.500 0.750 0.250  0.06
Sc: 0.500 0.000 0.500  0.00
O: 0.250 0.000 0.250  0.25
O: 0.750 0.500 0.250  0.06
O: 0.250 0.750 0.500  0.06
Ac: 0.000 0.500 0.000  -0.01
O: 0.250 0.250 0.000  0.25
O: 0.750 0.000 0.750  0.25
Ac: 0.500 0.500 0.500  -0.01
Ac: 0.000 0.000 0.500  -0.01
O: 0.750 0.250 0.500  0.06
Sc: 0.500 0.500 0.000  0.00
O: 0.750 0.750 0.000  0.25

- V: 13.655 Å³ per atom
- Total magnetic moment: 0.104 μB per atom
- Density: 7.55 g cm⁻³
- ΔE_f (raw): -3.018 eV/atom